{
  "formula": "La5As",
  "functional": "GGA-PBE",
  "state": "optimized geometry",
  "lattice_angstrom": [[0.0000, 4.6246, 4.6246], [4.6246, 0.0000, 4.6246], [4.6246, 4.6246, 0.0000]],
  "species": ["La", "La", "La", "La", "La", "As"],
  "fractional_positions": [[0.0000, 0.0000, 0.0000], [0.1201, 0.6266, 0.6266], [0.6266, 0.1201, 0.6266], [0.6266, 0.6266, 0.1201], [0.6266, 0.6266, 0.6266], [0.2500, 0.2500, 0.2500]],
  "e_tot_ev_per_cell": -28.24,
  "n_ef_per_ev_atom": 1.780
}